(1)
YbSbPd: optimized geometry, GGA-PBE.

As for the crystal system: cubic. As for the total energy: -46.5 eV for the cell shown. As for the magnetic moment: 0.98 Bohr magnetons per cell. The formation energy without anion corrections comes out at -0.2585 eV per atom.

The structure belongs to space group F-43m (No. 216); the cell edges are 6.852, 6.852 and 6.852 Å and the angles 90.00°, 90.00° and 90.00°. The inequivalent atoms are Yb at (0.000, 0.000, 0.000), Sb at (0.250, 0.250, 0.250) and Pd at (0.250, 0.250, 0.750).

***

(2)
ErNpPa2N6: optimized geometry, GGA-PBE.

As for the crystal system: trigonal. As for the total energy: -302.2 eV for the cell shown. As for the magnetic moment: 6.00 Bohr magnetons per cell. The formation energy without anion corrections comes out at -1.4279 eV per atom.

The structure belongs to space group R3 (No. 146, hexagonal axes); the cell edges are 5.9419, 5.9419 and 14.7192 Å and the angles 90.00°, 90.00° and 120.00°. The inequivalent atoms are Er at (0.0000, 0.0000, 0.0000), Np at (0.0000, 0.0000, 0.4914), Pa at (0.0000, 0.0000, 0.2719), Pa at (0.0000, 0.0000, 0.7751), N at (0.0084, 0.7271, 0.3861) and N at (0.0428, 0.3702, 0.5473).

***

(3)
Rb2LiH4: optimized geometry, GGA-PBE.

As for the crystal system: tetragonal. As for the total energy: -33.7 eV for the cell shown. As for the magnetic moment: 2.03 Bohr magnetons per cell.

The structure belongs to space group I4/mmm (No. 139); the cell edges are 4.217, 4.217 and 13.930 Å and the angles 90.00°, 90.00° and 90.00°. The inequivalent atoms are Rb at (0.000, 0.000, 0.141), Li at (0.000, 0.000, 0.500), H at (0.000, 0.000, 0.360) and H at (0.000, 0.500, 0.000).

***

(4)
Pm5ScSn3: optimized geometry, GGA-PBE.

As for the crystal system: hexagonal. As for the total energy: -94.0 eV for the cell shown. Its formation energy is -52.6 kJ/mol of atoms. As for the magnetic moment: 4.25 Bohr magnetons per cell.

The structure belongs to space group P6_3/mcm (No. 193); the cell edges are 9.5215, 9.5215 and 6.6115 Å and the angles 90.00°, 90.00° and 120.00°. The inequivalent atoms are Pm at (0.0000, 0.3221, 0.2500), Pm at (0.3333, 0.6667, 0.0000), Sc at (0.0000, 0.0000, 0.0000) and Sn at (0.0000, 0.3387, 0.7500).

***

(5)
Sr2B3SbPt12: optimized geometry, GGA-PBE.

As for the crystal system: trigonal. As for the total energy: -317.2 eV for the cell shown. As for the magnetic moment: 0.00 Bohr magnetons per cell. The formation energy without anion corrections comes out at -0.3174 eV per atom.

The structure belongs to space group R-3m (No. 166, hexagonal axes); the cell edges are 7.9480, 7.9480 and 18.6203 Å and the angles 90.00°, 90.00° and 120.00°. The inequivalent atoms are Sr at (0.0000, 0.0000, 0.1019), B at (0.0000, 0.5000, 0.0000), Sb at (0.0000, 0.0000, 0.5000), Pt at (0.0051, 0.5026, 0.8854) and Pt at (0.0652, 0.5326, 0.3526).

***

(6)
Ba4NaCd2Ag: optimized geometry, GGA-PBE.

As for the crystal system: trigonal. As for the total energy: -46.1 eV for the cell shown. Its formation energy is -20.0 kJ/mol of atoms. As for the magnetic moment: 0.00 Bohr magnetons per cell.

The structure belongs to space group R-3m (No. 166, hexagonal axes); the cell edges are 6.0801, 6.0801 and 29.7917 Å and the angles 90.00°, 90.00° and 120.00°. The inequivalent atoms are Ba at (0.0000, 0.0000, 0.1177), Ba at (0.0000, 0.0000, 0.3684), Na at (0.0000, 0.0000, 0.5000), Cd at (0.0000, 0.0000, 0.2438) and Ag at (0.0000, 0.0000, 0.0000).

***

(7)
LiErTlGe: optimized geometry, GGA-PBE.

As for the crystal system: cubic. As for the total energy: -59.0 eV for the cell shown. Its formation energy is -31.1 kJ/mol of atoms. As for the magnetic moment: 0.00 Bohr magnetons per cell.

The structure belongs to space group F-43m (No. 216); the cell edges are 7.079, 7.079 and 7.079 Å and the angles 90.00°, 90.00° and 90.00°. The inequivalent atoms are Li at (0.000, 0.000, 0.000), Er at (0.000, 0.000, 0.500), Tl at (0.250, 0.250, 0.250) and Ge at (0.250, 0.250, 0.750).

***

(8)
TcPIr4: optimized geometry, GGA-PBE.

As for the crystal system: cubic. As for the total energy: -185.4 eV for the cell shown. Its formation energy is 78.2 kJ/mol of atoms. As for the magnetic moment: 11.47 Bohr magnetons per cell.

The structure belongs to space group F-43m (No. 216); the cell edges are 7.297, 7.297 and 7.297 Å and the angles 90.00°, 90.00° and 90.00°. The inequivalent atoms are Tc at (0.000, 0.000, 0.000), P at (0.250, 0.250, 0.250) and Ir at (0.125, 0.125, 0.625).